# 1
This record from Alexandria via LeMat-Bulk describes Pr2ZnIr2 after structural relaxation. The functional is GGA-PBE.

formation energy: -0.609 eV/atom
theoretical density: 10.91 Mg/m³
spin magnetization: 0.00 μB/f.u.
V: 22.26 A^3/atom

a b c (Å): 10.1389 5.6389 8.0925
angles (deg): 90.00 105.76 90.00
Last column: nearest neighbours and their distance in Å.
Space group C2/c (No. 15)
Asymmetric unit:
Pr (0.1455, 0.1505, 0.1471)  6 Ir 3.00-3.31, 1 Zn 3.28
Zn (0.0000, 0.3732, 0.7500)  4 Ir 2.65-2.70
Ir (0.1374, 0.3519, 0.5149)  1 Ir 2.63, 2 Zn 2.65-2.70

***

# 2
This record from Alexandria via LeMat-Bulk describes Pr4Zn5Ir2 after structural relaxation. The functional is GGA-PBE.

formation energy: -0.383 eV/atom
theoretical density: 8.14 Mg/m³
spin magnetization: 0.00 μB/f.u.
V: 23.65 A^3/atom

a b c (Å): 7.1067 3.9762 9.2294
angles (deg): 90.00 94.11 90.00
Last column: nearest neighbours and their distance in Å.
Space group P2/m (No. 10)
Asymmetric unit:
Pr (0.1782, 0.0000, 0.3623)  2 Ir 2.88, 4 Zn 3.20-3.22
Pr (0.2427, 0.0000, 0.9403)  4 Ir 3.04-3.08, 6 Zn 3.27-3.33
Zn (0.1987, 0.5000, 0.6589)  2 Zn 2.68-2.79, 1 Ir 2.70
Zn (0.4429, 0.5000, 0.1962)  1 Ir 2.67, 2 Zn 2.79-2.80
Zn (0.5000, 0.5000, 0.5000)  4 Zn 2.68-2.80
Ir (0.0684, 0.5000, 0.1473)  2 Zn 2.67-2.70, 1 Ir 2.82, 2 Pr 2.88

***

# 3
This record from Alexandria via LeMat-Bulk describes PrZn4Ir after structural relaxation. The functional is GGA-PBE.

formation energy: -0.317 eV/atom
theoretical density: 9.82 Mg/m³
spin magnetization: 0.00 μB/f.u.
V: 16.76 A^3/atom
offset from the most stable computed form: 0.0 meV per atom

a b c (Å): 7.3820 7.3820 7.3820
angles (deg): 90.00 90.00 90.00
Last column: nearest neighbours and their distance in Å.
Space group F-43m (No. 216)
Asymmetric unit:
Pr (0.0000, 0.0000, 0.0000)  12 Zn 3.06, 4 Ir 3.20
Zn (0.1234, 0.1234, 0.6234)  6 Zn 2.58-2.64
Ir (0.2500, 0.2500, 0.2500)  12 Zn 3.06, 4 Pr 3.20

***

# 4
This record from Alexandria via LeMat-Bulk describes PrZrIr after structural relaxation. The functional is GGA-PBE.

formation energy: -0.637 eV/atom
theoretical density: 9.44 Mg/m³
spin magnetization: 0.00 μB/f.u.
V: 24.89 A^3/atom

a b c (Å): 4.6824 4.6824 6.8101
angles (deg): 90.00 90.00 90.00
Last column: nearest neighbours and their distance in Å.
Space group P4/nmm (No. 129, origin choice 2)
Asymmetric unit:
Pr (0.2500, 0.2500, 0.1289)  1 Ir 2.91
Zr (0.2500, 0.7500, 0.5000)  4 Ir 2.71
Ir (0.2500, 0.2500, 0.7010)  4 Zr 2.71, 1 Pr 2.91

***

# 5
This record from Alexandria via LeMat-Bulk describes PrZr2Ir9 after structural relaxation. The functional is GGA-PBE.

formation energy: -0.522 eV/atom
theoretical density: 16.28 Mg/m³
spin magnetization: 0.00 μB/f.u.
V: 17.46 A^3/atom

a b c (Å): 5.2836 5.2836 25.9921
angles (deg): 90.00 90.00 120.00
Last column: nearest neighbours and their distance in Å.
Space group R-3m (No. 166, hexagonal axes)
Asymmetric unit:
Pr (0.0000, 0.0000, 0.0000)  6 Ir 3.05
Zr (0.0000, 0.0000, 0.1395)  12 Ir 3.00-3.22, 3 Zr 3.36
Ir (0.0000, 0.0000, 0.3342)  6 Ir 2.67-2.69
Ir (0.0000, 0.0000, 0.5000)  6 Ir 2.63
Ir (0.0029, 0.5014, 0.9154)  7 Ir 2.62-2.69

***

# 6
This record from Alexandria via LeMat-Bulk describes PrZr2Ir2 after structural relaxation. The functional is GGA-PBE.

formation energy: -0.744 eV/atom
theoretical density: 10.26 Mg/m³
spin magnetization: 0.00 μB/f.u.
V: 22.92 A^3/atom

a b c (Å): 4.5584 4.5584 11.0302
angles (deg): 90.00 90.00 90.00
Last column: nearest neighbours and their distance in Å.
Space group I4/mmm (No. 139)
Asymmetric unit:
Pr (0.0000, 0.0000, 0.0000)  8 Ir 3.48, 8 Zr 3.58
Zr (0.0000, 0.5000, 0.2500)  4 Ir 2.71
Ir (0.0000, 0.0000, 0.3822)  1 Ir 2.60, 4 Zr 2.71

***

# 7
This record from Alexandria via LeMat-Bulk describes Ir2Pt after structural relaxation. The functional is GGA-PBE.

formation energy: 0.295 eV/atom
theoretical density: 20.88 Mg/m³
spin magnetization: 0.00 μB/f.u.
V: 15.36 A^3/atom
offset from the most stable computed form: 264.8 meV per atom

a b c (Å): 4.4072 4.4072 2.7395
angles (deg): 90.00 90.00 120.00
Last column: nearest neighbours and their distance in Å.
Space group P6/mmm (No. 191)
Asymmetric unit:
Ir (0.3333, 0.6667, 0.0000)  5 Ir 2.54-2.74
Pt (0.0000, 0.0000, 0.5000)  2 Pt 2.74, 12 Ir 2.89

***

# 8
This record from Alexandria via LeMat-Bulk describes Ir3Pt after structural relaxation. The functional is GGA-PBE.

formation energy: 0.036 eV/atom
theoretical density: 21.61 Mg/m³
spin magnetization: 0.00 μB/f.u.
V: 14.82 A^3/atom

a b c (Å): 2.7541 2.7541 7.8176
angles (deg): 90.00 90.00 90.00
Last column: nearest neighbours and their distance in Å.
Space group P4/mmm (No. 123)
Asymmetric unit:
Ir (0.0000, 0.0000, 0.0000)  12 Ir 2.71-2.75
Ir (0.5000, 0.5000, 0.2411)  8 Ir 2.71-2.75, 4 Pt 2.81
Pt (0.0000, 0.0000, 0.5000)  4 Pt 2.75, 8 Ir 2.81

***

# 9
This record from Alexandria via LeMat-Bulk describes Ir3Pt after structural relaxation. The functional is GGA-PBE.

formation energy: 0.064 eV/atom
theoretical density: 21.59 Mg/m³
spin magnetization: 0.00 μB/f.u.
V: 14.84 A^3/atom

a b c (Å): 2.7552 2.7552 9.0304
angles (deg): 90.00 90.00 120.00
Last column: nearest neighbours and their distance in Å.
Space group P-6m2 (No. 187)
Asymmetric unit:
Ir (0.0000, 0.0000, 0.0000)  12 Ir 2.72-2.76
Ir (0.6667, 0.3333, 0.2439)  9 Ir 2.72-2.76, 3 Pt 2.81
Pt (0.3333, 0.6667, 0.5000)  6 Pt 2.76, 6 Ir 2.81

***

# 10
This record from Alexandria via LeMat-Bulk describes IrPt after structural relaxation. The functional is GGA-PBE.

formation energy: 0.158 eV/atom
theoretical density: 20.81 Mg/m³
spin magnetization: 0.00 μB/f.u.
V: 15.45 A^3/atom

a b c (Å): 2.7029 4.7461 9.6348
angles (deg): 90.00 90.00 90.00
Last column: nearest neighbours and their distance in Å.
Space group Imma (No. 74)
Asymmetric unit:
Ir (0.0000, 0.2500, 0.1338)  4 Ir 2.61-2.70, 6 Pt 2.74-2.77
Pt (0.0000, 0.2500, 0.6176)  4 Pt 2.70-2.89, 6 Ir 2.74-2.77

***

# 11
This record from Alexandria via LeMat-Bulk describes IrPt after structural relaxation. The functional is GGA-PBE.

formation energy: 0.986 eV/atom
theoretical density: 15.30 Mg/m³
spin magnetization: 0.00 μB/f.u.
V: 21.01 A^3/atom

a b c (Å): 4.3357 4.3357 5.1625
angles (deg): 90.00 90.00 120.00
Last column: nearest neighbours and their distance in Å.
Space group P6_3/mmc (No. 194)
Asymmetric unit:
Ir (0.3333, 0.6667, 0.2500)  5 Pt 2.50-2.58
Pt (0.3333, 0.6667, 0.7500)  5 Ir 2.50-2.58

***

# 12
This record from Alexandria via LeMat-Bulk describes Ir2Pt after structural relaxation. The functional is GGA-PBE.

formation energy: 0.539 eV/atom
theoretical density: 19.33 Mg/m³
spin magnetization: 0.00 μB/f.u.
V: 16.60 A^3/atom
offset from the most stable computed form: 508.0 meV per atom

a b c (Å): 3.3184 3.3184 18.0849
angles (deg): 90.00 90.00 90.00
Last column: nearest neighbours and their distance in Å.
Space group I4_1/amd (No. 141, origin choice 2)
Asymmetric unit:
Ir (0.0000, 0.2500, 0.3027)  3 Ir 2.53-2.61, 4 Pt 2.69
Pt (0.0000, 0.2500, 0.8750)  8 Ir 2.69